(1)
# Dy2LuNb | Alexandria via LeMat-Bulk | PBE-GGA | optimized geometry
# Total DFT energy (no corrections) (Ry/atom): -0.3998
# Energy of formation (meV per atom): 509
# Magnetic moment (μB/f.u.): 0.000
data_Dy2LuNb
_cell_length_a 3.2787
_cell_length_b 3.2787
_cell_length_c 34.3332
_cell_angle_alpha 90.00
_cell_angle_beta 90.00
_cell_angle_gamma 120.00
_symmetry_space_group_name_H-M 'R -3 m'
_symmetry_Int_Tables_number 166
_symmetry_space_group_name_Hall '-R 3 2"'
loop_
_atom_site_label
_atom_site_type_symbol
_atom_site_fract_x
_atom_site_fract_y
_atom_site_fract_z
_atom_site_occupancy
Dy1 Dy 0.0000 0.0000 0.0843 1
Lu1 Lu 0.0000 0.0000 0.5000 1
Nb1 Nb 0.0000 0.0000 0.0000 1

=====

(2)
# DyLuNb4 | Alexandria via LeMat-Bulk | PBE-GGA | optimized geometry
# Total DFT energy (no corrections) (Ry/atom): -0.5933
# Energy of formation (meV per atom): 161
# Magnetic moment (μB/f.u.): 0.000
data_DyLuNb4
_cell_length_a 8.0644
_cell_length_b 8.0644
_cell_length_c 8.0644
_cell_angle_alpha 90.00
_cell_angle_beta 90.00
_cell_angle_gamma 90.00
_symmetry_space_group_name_H-M 'F -4 3 m'
_symmetry_Int_Tables_number 216
_symmetry_space_group_name_Hall 'F -4 2 3'
loop_
_atom_site_label
_atom_site_type_symbol
_atom_site_fract_x
_atom_site_fract_y
_atom_site_fract_z
_atom_site_occupancy
Dy1 Dy 0.0000 0.0000 0.0000 1
Lu1 Lu 0.2500 0.2500 0.7500 1
Nb1 Nb 0.1252 0.1252 0.3748 1

=====

(3)
# NdDy2Lu | Alexandria via LeMat-Bulk | PBE-GGA | optimized geometry
# Distance to the lowest polymorph of the same formula (kcal/mol of atoms): 0.02
# Total DFT energy (no corrections) (Ry/atom): -0.3379
# Energy of formation (meV per atom): 26
# Magnetic moment (μB/f.u.): 0.000
data_NdDy2Lu
_cell_length_a 3.5592
_cell_length_b 3.5592
_cell_length_c 34.7568
_cell_angle_alpha 90.00
_cell_angle_beta 90.00
_cell_angle_gamma 120.00
_symmetry_space_group_name_H-M 'R -3 m'
_symmetry_Int_Tables_number 166
_symmetry_space_group_name_Hall '-R 3 2"'
loop_
_atom_site_label
_atom_site_type_symbol
_atom_site_fract_x
_atom_site_fract_y
_atom_site_fract_z
_atom_site_occupancy
Nd1 Nd 0.0000 0.0000 0.0000 1
Dy1 Dy 0.0000 0.0000 0.2479 1
Lu1 Lu 0.0000 0.0000 0.5000 1